[1]
Material: CdHg2As
Method: DFT, PBE
State: optimized geometry

The calculation puts the volume at 23.04 Å³ per atom. For the formation energy from the elements, the calculation gives 21.25 kJ/mol of atoms. For the raw total energy, the calculation gives -1.3219 eV per atom.

Geometry as CIF:
```
data_CdHg2As
_space_group_name_H-M_alt 'F m -3 m'
_space_group_IT_number 225
_space_group_name_Hall '-F 4 2 3'
_cell_length_a 7.1703
_cell_length_b 7.1703
_cell_length_c 7.1703
_cell_angle_alpha 90.00
_cell_angle_beta 90.00
_cell_angle_gamma 90.00
loop_
_atom_site_label
_atom_site_fract_x
_atom_site_fract_y
_atom_site_fract_z
Cd1 0.0000 0.0000 0.0000
Hg1 0.2500 0.2500 0.2500
As1 0.0000 0.0000 0.5000
```

***

[2]
Material: CdHg2As
Method: DFT, PBE
State: optimized geometry

The calculation puts the volume at 24.32 Å³ per atom. For the formation energy from the elements, the calculation gives 17.01 kJ/mol of atoms. For the raw total energy, the calculation gives -1.3657 eV per atom.

Geometry as CIF:
```
data_CdHg2As
_space_group_name_H-M_alt 'P 4 m m'
_space_group_IT_number 99
_cell_length_a 3.0884
_cell_length_b 3.0884
_cell_length_c 10.2004
_cell_angle_alpha 90.00
_cell_angle_beta 90.00
_cell_angle_gamma 90.00
loop_
_space_group_symop_operation_xyz
'x,y,z'
'-y,x,z'
'-x,-y,z'
'y,-x,z'
'-x,y,z'
'y,x,z'
'x,-y,z'
'-y,-x,z'
loop_
_atom_site_label
_atom_site_fract_x
_atom_site_fract_y
_atom_site_fract_z
Cd1 0.0000 0.0000 0.0000
Hg1 0.0000 0.0000 0.5148
Hg2 0.5000 0.5000 0.2381
As1 0.5000 0.5000 0.8016
```

***

[3]
Material: CdHg2As
Method: DFT, PBE
State: optimized geometry

The calculation puts the volume at 25.36 Å³ per atom. For the formation energy from the elements, the calculation gives 10.78 kJ/mol of atoms. For the raw total energy, the calculation gives -1.4304 eV per atom.

Geometry as CIF:
```
data_CdHg2As
_space_group_name_H-M_alt 'P 4 m m'
_space_group_IT_number 99
_cell_length_a 4.1427
_cell_length_b 4.1427
_cell_length_c 5.9119
_cell_angle_alpha 90.00
_cell_angle_beta 90.00
_cell_angle_gamma 90.00
loop_
_space_group_symop_operation_xyz
'x,y,z'
'-y,x,z'
'-x,-y,z'
'y,-x,z'
'-x,y,z'
'y,x,z'
'x,-y,z'
'-y,-x,z'
loop_
_atom_site_label
_atom_site_fract_x
_atom_site_fract_y
_atom_site_fract_z
Cd1 0.0000 0.0000 0.0000
Hg1 0.0000 0.0000 0.5049
Hg2 0.5000 0.5000 0.4611
As1 0.5000 0.5000 0.9748
```

***

[4]
Material: CdHg2As
Method: DFT, PBE
State: optimized geometry

The calculation puts the volume at 25.50 Å³ per atom. For the formation energy from the elements, the calculation gives 8.65 kJ/mol of atoms. For the raw total energy, the calculation gives -1.4524 eV per atom.

Geometry as CIF:
```
data_CdHg2As
_space_group_name_H-M_alt 'C 1 m 1'
_space_group_IT_number 8
_cell_length_a 7.6753
_cell_length_b 4.1433
_cell_length_c 6.7537
_cell_angle_alpha 90.00
_cell_angle_beta 108.24
_cell_angle_gamma 90.00
loop_
_space_group_symop_operation_xyz
'x,y,z'
'x,-y,z'
'x+1/2,y+1/2,z'
'x+1/2,-y+1/2,z'
loop_
_atom_site_label
_atom_site_fract_x
_atom_site_fract_y
_atom_site_fract_z
Cd1 0.0000 0.0000 0.0000
Hg1 0.2359 0.0000 0.7115
Hg2 0.4739 0.0000 0.4282
As1 0.2313 0.5000 0.1904
```

***

[5]
Material: Cd4HgAs
Method: DFT, PBE
State: optimized geometry

The calculation puts the volume at 23.52 Å³ per atom. For the formation energy from the elements, the calculation gives 19.52 kJ/mol of atoms. For the raw total energy, the calculation gives -1.2330 eV per atom.

Geometry as CIF:
```
data_Cd4HgAs
_space_group_name_H-M_alt 'F -4 3 m'
_space_group_IT_number 216
_space_group_name_Hall 'F -4 2 3'
_cell_length_a 8.2649
_cell_length_b 8.2649
_cell_length_c 8.2649
_cell_angle_alpha 90.00
_cell_angle_beta 90.00
_cell_angle_gamma 90.00
loop_
_atom_site_label
_atom_site_fract_x
_atom_site_fract_y
_atom_site_fract_z
Cd1 0.1252 0.1252 0.1252
Hg1 0.2500 0.2500 0.7500
As1 0.0000 0.0000 0.5000
```

***

[6]
Material: CdHg2As
Method: DFT, PBE
State: optimized geometry

The calculation puts the volume at 23.39 Å³ per atom. For the formation energy from the elements, the calculation gives 21.48 kJ/mol of atoms. For the raw total energy, the calculation gives -1.3195 eV per atom.

Geometry as CIF:
```
data_CdHg2As
_space_group_name_H-M_alt 'F -4 3 m'
_space_group_IT_number 216
_space_group_name_Hall 'F -4 2 3'
_cell_length_a 7.2068
_cell_length_b 7.2068
_cell_length_c 7.2068
_cell_angle_alpha 90.00
_cell_angle_beta 90.00
_cell_angle_gamma 90.00
loop_
_atom_site_label
_atom_site_fract_x
_atom_site_fract_y
_atom_site_fract_z
Cd1 0.0000 0.0000 0.0000
Hg1 0.0000 0.0000 0.5000
Hg2 0.2500 0.2500 0.7500
As1 0.2500 0.2500 0.2500
```

***

[7]
Material: CdHg2As
Method: DFT, PBE
State: optimized geometry

The calculation puts the volume at 23.17 Å³ per atom. For the formation energy from the elements, the calculation gives 17.53 kJ/mol of atoms. For the raw total energy, the calculation gives -1.3604 eV per atom.

Geometry as CIF:
```
data_CdHg2As
_space_group_name_H-M_alt 'P m m m'
_space_group_IT_number 47
_cell_length_a 3.0845
_cell_length_b 5.3568
_cell_length_c 5.6089
_cell_angle_alpha 90.00
_cell_angle_beta 90.00
_cell_angle_gamma 90.00
loop_
_space_group_symop_operation_xyz
'x,y,z'
'-x,-y,-z'
'-x,-y,z'
'x,y,-z'
'x,-y,-z'
'-x,y,z'
'-x,y,-z'
'x,-y,z'
loop_
_atom_site_label
_atom_site_fract_x
_atom_site_fract_y
_atom_site_fract_z
Cd1 0.0000 0.0000 0.0000
Hg1 0.0000 0.5000 0.5000
Hg2 0.5000 0.5000 0.0000
As1 0.5000 0.0000 0.5000
```

***

[8]
Material: CdHg2As
Method: DFT, PBE
State: optimized geometry

The calculation puts the volume at 33.25 Å³ per atom. For the formation energy from the elements, the calculation gives 23.82 kJ/mol of atoms. For the raw total energy, the calculation gives -1.2952 eV per atom.

Geometry as CIF:
```
data_CdHg2As
_space_group_name_H-M_alt 'I -4 2 d'
_space_group_IT_number 122
_space_group_name_Hall 'I -4 2bw'
_cell_length_a 6.4276
_cell_length_b 6.4276
_cell_length_c 12.8771
_cell_angle_alpha 90.00
_cell_angle_beta 90.00
_cell_angle_gamma 90.00
loop_
_atom_site_label
_atom_site_fract_x
_atom_site_fract_y
_atom_site_fract_z
Cd1 0.0000 0.0000 0.0000
Hg1 0.2077 0.2500 0.6250
As1 0.0000 0.0000 0.5000
```

***

[9]
Material: CdHg2As
Method: DFT, PBE
State: optimized geometry

The calculation puts the volume at 23.78 Å³ per atom. For the formation energy from the elements, the calculation gives 16.99 kJ/mol of atoms. For the raw total energy, the calculation gives -1.3660 eV per atom.

Geometry as CIF:
```
data_CdHg2As
_space_group_name_H-M_alt 'I m m m'
_space_group_IT_number 71
_space_group_name_Hall '-I 2 2'
_cell_length_a 2.8590
_cell_length_b 5.5939
_cell_length_c 11.8948
_cell_angle_alpha 90.00
_cell_angle_beta 90.00
_cell_angle_gamma 90.00
loop_
_atom_site_label
_atom_site_fract_x
_atom_site_fract_y
_atom_site_fract_z
Cd1 0.0000 0.0000 0.0000
Hg1 0.0000 0.5000 0.2405
As1 0.0000 0.0000 0.5000
```

***

[10]
Material: CdHg2As
Method: DFT, PBE
State: optimized geometry

The calculation puts the volume at 22.91 Å³ per atom. For the formation energy from the elements, the calculation gives 18.51 kJ/mol of atoms. For the raw total energy, the calculation gives -1.3502 eV per atom.

Geometry as CIF:
```
data_CdHg2As
_space_group_name_H-M_alt 'I 4/m m m'
_space_group_IT_number 139
_space_group_name_Hall '-I 4 2'
_cell_length_a 4.3253
_cell_length_b 4.3253
_cell_length_c 9.7965
_cell_angle_alpha 90.00
_cell_angle_beta 90.00
_cell_angle_gamma 90.00
loop_
_atom_site_label
_atom_site_fract_x
_atom_site_fract_y
_atom_site_fract_z
Cd1 0.0000 0.0000 0.0000
Hg1 0.0000 0.5000 0.2500
As1 0.0000 0.0000 0.5000
```

***

[11]
Material: Cd3Hg12As5
Method: DFT, PBE
State: optimized geometry

The calculation puts the volume at 28.03 Å³ per atom. For the formation energy from the elements, the calculation gives 14.02 kJ/mol of atoms. For the raw total energy, the calculation gives -1.3354 eV per atom.

Geometry as CIF:
```
data_Cd3Hg12As5
_space_group_name_H-M_alt 'I a -3 d'
_space_group_IT_number 230
_space_group_name_Hall '-I 4bd 2c 3'
_cell_length_a 16.4903
_cell_length_b 16.4903
_cell_length_c 16.4903
_cell_angle_alpha 90.00
_cell_angle_beta 90.00
_cell_angle_gamma 90.00
loop_
_atom_site_label
_atom_site_fract_x
_atom_site_fract_y
_atom_site_fract_z
Cd1 0.0000 0.2500 0.1250
Hg1 0.0339 0.0800 0.6454
As1 0.0000 0.0000 0.0000
As2 0.0000 0.2500 0.3750
```

***

[12]
Material: CdHg2As
Method: DFT, PBE
State: optimized geometry

The calculation puts the volume at 23.97 Å³ per atom. For the formation energy from the elements, the calculation gives 17.13 kJ/mol of atoms. For the raw total energy, the calculation gives -1.3645 eV per atom.

Geometry as CIF:
```
data_CdHg2As
_space_group_name_H-M_alt 'C m m 2'
_space_group_IT_number 35
_cell_length_a 4.0548
_cell_length_b 5.0980
_cell_length_c 9.2750
_cell_angle_alpha 90.00
_cell_angle_beta 90.00
_cell_angle_gamma 90.00
loop_
_space_group_symop_operation_xyz
'x,y,z'
'-x,-y,z'
'-x,y,z'
'x,-y,z'
'x+1/2,y+1/2,z'
'-x+1/2,-y+1/2,z'
'-x+1/2,y+1/2,z'
'x+1/2,-y+1/2,z'
loop_
_atom_site_label
_atom_site_fract_x
_atom_site_fract_y
_atom_site_fract_z
Cd1 0.0000 0.0000 0.0000
Hg1 0.0000 0.0000 0.4784
Hg2 0.0000 0.5000 0.7479
As1 0.0000 0.5000 0.2092
```

***

The highest formation energy from the elements belongs to which entry? number 8

***

Look up the volume of the sixth one. 23.39 Å³ per atom

***

Which value of volume does entry 1 give? 23.04 Å³ per atom